InMo: optimized geometry, PBE-GGA.

Values from the calculation:
ρ: 9.30 g cm⁻³
Formation energy from the elements: 0.559 eV per atom
Space group: P2_13
Electronic total energy: -49.8 eV for the cell shown
Distance to the lowest polymorph of the same formula: 345 meV per atom

Cell: 5.320 5.320 5.320 Å, 90.00 90.00 90.00°
Atoms (fractional coordinates):
Mo 0.393 0.893 0.607
Mo 0.607 0.393 0.893
Mo 0.893 0.607 0.393
Mo 0.107 0.107 0.107
In 0.598 0.902 0.098
In 0.902 0.098 0.598
In 0.098 0.598 0.902
In 0.402 0.402 0.402